The following is a DFT calculation (PBE-GGA) of crystalline CsHg5Au at its relaxed geometry.

energy above the most stable polymorph in this dataset = 25 meV per atom
total magnetization = 0.0 Bohr magnetons per cell
energy of formation from the pure elements = -0.119 eV per atom
calculated volume = 33.49 A^3/atom
calculated total energy = -0.92 eV/atom

Unit cell a=5.2663 b=5.2663 c=8.4539 alpha=90.00 beta=90.00 gamma=90.00
Space group P4/mmm (No. 123)
One atom of each set of equivalent atoms:
Cs 0.0000 0.0000 0.0000 x1
Hg 0.0000 0.5000 0.3140 x4
Hg 0.5000 0.5000 0.0000 x1
Au 0.0000 0.0000 0.5000 x1